[1]
The following is a GGA-PBE calculation of a relaxed structure of AlMo2Br, from Alexandria via LeMat-Bulk.

The structure in CIF format:
```
data_AlMo2Br
_chemical_formula_sum 'Al1 Mo2 Br1'
_space_group_name_H-M_alt 'P 1 m 1'
_space_group_IT_number 6
_space_group_name_Hall 'P -2y'
_cell_length_a 2.9491
_cell_length_b 4.6206
_cell_length_c 5.0584
_cell_angle_alpha 90.00
_cell_angle_beta 95.44
_cell_angle_gamma 90.00
loop_
_atom_site_label
_atom_site_type_symbol
_atom_site_fract_x
_atom_site_fract_y
_atom_site_fract_z
Al1 Al 0.0000 0.0000 0.0000
Mo1 Mo 0.2892 0.5000 0.7361
Mo2 Mo 0.5560 0.0000 0.5268
Br1 Br 0.5080 0.5000 0.2408
```

Values from the calculation:
As for the density: 7.2 g/cm3. The density of states at the Fermi level is 2.73 states/eV/cell. The calculation puts the uncorrected formation energy at 0.50 eV per atom.



[2]
The following is a GGA-PBE calculation of a relaxed structure of AlMo2Br, from Alexandria via LeMat-Bulk.

The structure in CIF format:
```
data_AlMo2Br
_chemical_formula_sum 'Al2 Mo4 Br2'
_space_group_name_H-M_alt 'C 1 2/m 1'
_space_group_IT_number 12
_space_group_name_Hall '-C 2y'
_cell_length_a 5.4110
_cell_length_b 9.5565
_cell_length_c 3.2173
_cell_angle_alpha 90.00
_cell_angle_beta 123.83
_cell_angle_gamma 90.00
loop_
_atom_site_label
_atom_site_type_symbol
_atom_site_fract_x
_atom_site_fract_y
_atom_site_fract_z
Al1 Al 0.0000 0.0000 0.0000
Mo1 Mo 0.2500 0.2500 0.5000
Br1 Br 0.0000 0.5000 0.0000
```

Values from the calculation:
As for the density: 7.2 g/cm3. The density of states at the Fermi level is 7.39 states/eV/cell. The calculation puts the uncorrected formation energy at 0.69 eV per atom.



[3]
The following is a GGA-PBE calculation of a relaxed structure of Al4MoBr, from Alexandria via LeMat-Bulk.

The structure in CIF format:
```
data_Al4MoBr
_chemical_formula_sum 'Al16 Mo4 Br4'
_space_group_name_H-M_alt 'F -4 3 m'
_space_group_IT_number 216
_space_group_name_Hall 'F -4 2 3'
_cell_length_a 7.4638
_cell_length_b 7.4638
_cell_length_c 7.4638
_cell_angle_alpha 90.00
_cell_angle_beta 90.00
_cell_angle_gamma 90.00
loop_
_atom_site_label
_atom_site_type_symbol
_atom_site_fract_x
_atom_site_fract_y
_atom_site_fract_z
Al1 Al 0.1243 0.1243 0.3757
Mo1 Mo 0.2500 0.2500 0.7500
Br1 Br 0.0000 0.0000 0.0000
```

Values from the calculation:
As for the density: 4.5 g/cm3. The density of states at the Fermi level is 15.13 states/eV/cell. The calculation puts the uncorrected formation energy at 0.35 eV per atom.



[4]
The following is a GGA-PBE calculation of a relaxed structure of Al2MoBr, from Alexandria via LeMat-Bulk.

The structure in CIF format:
```
data_Al2MoBr
_chemical_formula_sum 'Al2 Mo1 Br1'
_space_group_name_H-M_alt 'P 4/m m m'
_space_group_IT_number 123
_space_group_name_Hall '-P 4 2'
_cell_length_a 3.3037
_cell_length_b 3.3037
_cell_length_c 6.8529
_cell_angle_alpha 90.00
_cell_angle_beta 90.00
_cell_angle_gamma 90.00
loop_
_atom_site_label
_atom_site_type_symbol
_atom_site_fract_x
_atom_site_fract_y
_atom_site_fract_z
Al1 Al 0.0000 0.0000 0.1908
Mo1 Mo 0.5000 0.5000 0.0000
Br1 Br 0.5000 0.5000 0.5000
```

Values from the calculation:
As for the density: 5.1 g/cm3. The density of states at the Fermi level is 2.74 states/eV/cell. The calculation puts the uncorrected formation energy at 0.10 eV per atom.



[5]
The following is a GGA-PBE calculation of a relaxed structure of Al2MoBr, from Alexandria via LeMat-Bulk.

The structure in CIF format:
```
data_Al2MoBr
_chemical_formula_sum 'Al2 Mo1 Br1'
_space_group_name_H-M_alt 'P 1 2/m 1'
_space_group_IT_number 10
_space_group_name_Hall '-P 2y'
_cell_length_a 2.9376
_cell_length_b 4.9672
_cell_length_c 4.8080
_cell_angle_alpha 90.00
_cell_angle_beta 90.80
_cell_angle_gamma 90.00
loop_
_atom_site_label
_atom_site_type_symbol
_atom_site_fract_x
_atom_site_fract_y
_atom_site_fract_z
Al1 Al 0.2354 0.0000 0.2371
Mo1 Mo 0.5000 0.5000 0.0000
Br1 Br 0.0000 0.5000 0.5000
```

Values from the calculation:
As for the density: 5.4 g/cm3. The density of states at the Fermi level is 2.94 states/eV/cell. The calculation puts the uncorrected formation energy at 0.49 eV per atom.



[6]
The following is a GGA-PBE calculation of a relaxed structure of Al2MoBr, from Alexandria via LeMat-Bulk.

The structure in CIF format:
```
data_Al2MoBr
_chemical_formula_sum 'Al8 Mo4 Br4'
_space_group_name_H-M_alt 'F -4 3 m'
_space_group_IT_number 216
_space_group_name_Hall 'F -4 2 3'
_cell_length_a 6.5467
_cell_length_b 6.5467
_cell_length_c 6.5467
_cell_angle_alpha 90.00
_cell_angle_beta 90.00
_cell_angle_gamma 90.00
loop_
_atom_site_label
_atom_site_type_symbol
_atom_site_fract_x
_atom_site_fract_y
_atom_site_fract_z
Al1 Al 0.0000 0.0000 0.0000
Al2 Al 0.2500 0.2500 0.2500
Mo1 Mo 0.0000 0.0000 0.5000
Br1 Br 0.2500 0.2500 0.7500
```

Values from the calculation:
As for the density: 5.4 g/cm3. The density of states at the Fermi level is 20.40 states/eV/cell. The calculation puts the uncorrected formation energy at 0.68 eV per atom.



[7]
The following is a GGA-PBE calculation of a relaxed structure of AlMoBr4, from Alexandria via LeMat-Bulk.

The structure in CIF format:
```
data_AlMoBr4
_chemical_formula_sum 'Al4 Mo4 Br16'
_space_group_name_H-M_alt 'F -4 3 m'
_space_group_IT_number 216
_space_group_name_Hall 'F -4 2 3'
_cell_length_a 8.9894
_cell_length_b 8.9894
_cell_length_c 8.9894
_cell_angle_alpha 90.00
_cell_angle_beta 90.00
_cell_angle_gamma 90.00
loop_
_atom_site_label
_atom_site_type_symbol
_atom_site_fract_x
_atom_site_fract_y
_atom_site_fract_z
Al1 Al 0.0000 0.0000 0.0000
Mo1 Mo 0.2500 0.2500 0.2500
Br1 Br 0.1250 0.1250 0.6250
```

Values from the calculation:
As for the density: 4.0 g/cm3. The density of states at the Fermi level is 18.55 states/eV/cell. The calculation puts the uncorrected formation energy at 1.05 eV per atom.



[8]
The following is a GGA-PBE calculation of a relaxed structure of AlMo2Br, from Alexandria via LeMat-Bulk.

The structure in CIF format:
```
data_AlMo2Br
_chemical_formula_sum 'Al4 Mo8 Br4'
_space_group_name_H-M_alt 'I -4 2 d'
_space_group_IT_number 122
_space_group_name_Hall 'I -4 2bw'
_cell_length_a 7.4956
_cell_length_b 7.4956
_cell_length_c 5.2558
_cell_angle_alpha 90.00
_cell_angle_beta 90.00
_cell_angle_gamma 90.00
loop_
_atom_site_label
_atom_site_type_symbol
_atom_site_fract_x
_atom_site_fract_y
_atom_site_fract_z
Al1 Al 0.0000 0.0000 0.0000
Mo1 Mo 0.2229 0.7500 0.1250
Br1 Br 0.0000 0.0000 0.5000
```

Values from the calculation:
As for the density: 6.7 g/cm3. The density of states at the Fermi level is 20.62 states/eV/cell. The calculation puts the uncorrected formation energy at 1.08 eV per atom.



[9]
The following is a GGA-PBE calculation of a relaxed structure of Al2MoBr, from Alexandria via LeMat-Bulk.

The structure in CIF format:
```
data_Al2MoBr
_chemical_formula_sum 'Al2 Mo1 Br1'
_space_group_name_H-M_alt 'P 1 m 1'
_space_group_IT_number 6
_space_group_name_Hall 'P -2y'
_cell_length_a 3.0266
_cell_length_b 4.5607
_cell_length_c 5.3208
_cell_angle_alpha 90.00
_cell_angle_beta 106.52
_cell_angle_gamma 90.00
loop_
_atom_site_label
_atom_site_type_symbol
_atom_site_fract_x
_atom_site_fract_y
_atom_site_fract_z
Al1 Al 0.0000 0.0000 0.0000
Al2 Al 0.3298 0.5000 0.6625
Mo1 Mo 0.7433 0.0000 0.4921
Br1 Br 0.5857 0.5000 0.1726
```

Values from the calculation:
As for the density: 5.4 g/cm3. The density of states at the Fermi level is 3.04 states/eV/cell. The calculation puts the uncorrected formation energy at 0.25 eV per atom.



[10]
The following is a GGA-PBE calculation of a relaxed structure of AlMo2Br, from Alexandria via LeMat-Bulk.

The structure in CIF format:
```
data_AlMo2Br
_chemical_formula_sum 'Al2 Mo4 Br2'
_space_group_name_H-M_alt 'C m m m'
_space_group_IT_number 65
_space_group_name_Hall '-C 2 2'
_cell_length_a 3.3723
_cell_length_b 4.6520
_cell_length_c 8.6313
_cell_angle_alpha 90.00
_cell_angle_beta 90.00
_cell_angle_gamma 90.00
loop_
_atom_site_label
_atom_site_type_symbol
_atom_site_fract_x
_atom_site_fract_y
_atom_site_fract_z
Al1 Al 0.0000 0.0000 0.0000
Mo1 Mo 0.0000 0.5000 0.2375
Br1 Br 0.0000 0.0000 0.5000
```

Values from the calculation:
As for the density: 7.3 g/cm3. The density of states at the Fermi level is 7.55 states/eV/cell. The calculation puts the uncorrected formation energy at 0.60 eV per atom.



The lowest uncorrected formation energy belongs to which entry? number 4



density of number 7 (AlMoBr4)? 4.0 g/cm3



Which formula does entry 5 have? Al2MoBr